# 1
Entry from Alexandria via LeMat-Bulk: a relaxed structure of CrSiTe3 (GGA-PBE).

Uncorrected formation energy in eV per atom: -0.184

a b c (Å): 6.8374 6.8374 22.6175
angles (deg): 90.00 90.00 120.00
Closest atoms and distances in Å follow each position.
Space group R-3 (No. 148, hexagonal axes)
Symmetry-distinct sites (fractional):
Cr  0.0000  0.0000  0.1665  6 Te 2.78
Si  0.0000  0.0000  0.4495  1 Si 2.28, 3 Te 2.55
Te  0.0010  0.3632  0.4238  1 Si 2.55, 2 Cr 2.78

---

# 2
Entry from Alexandria via LeMat-Bulk: a relaxed structure of CrSiTe2 (GGA-PBE).

Uncorrected formation energy in eV per atom: 0.330

a b c (Å): 5.6960 5.6960 5.9414
angles (deg): 90.00 90.00 90.00
Closest atoms and distances in Å follow each position.
Space group I4/mmm (No. 139)
Symmetry-distinct sites (fractional):
Cr  0.0000  0.0000  0.0000  4 Te 2.85, 2 Si 2.97
Si  0.0000  0.0000  0.5000  4 Te 2.85, 2 Cr 2.97
Te  0.0000  0.5000  0.0000  2 Si 2.85, 2 Cr 2.85, 2 Te 2.97

---

# 3
Entry from Alexandria via LeMat-Bulk: a relaxed structure of CrSiTe2 (GGA-PBE).

Uncorrected formation energy in eV per atom: 0.091

a b c (Å): 4.0747 4.0747 5.7306
angles (deg): 90.00 90.00 90.00
Closest atoms and distances in Å follow each position.
Space group P4mm (No. 99)
Symmetry-distinct sites (fractional):
Cr  0.0000  0.0000  0.0000  6 Te 2.87-2.88
Si  0.5000  0.5000  0.4978  6 Te 2.85-2.88
Te  0.0000  0.0000  0.5000  2 Cr 2.87, 4 Si 2.88
Te  0.5000  0.5000  0.9999  2 Si 2.85-2.88, 4 Cr 2.88

---

# 4
Entry from Alexandria via LeMat-Bulk: a relaxed structure of CrSi2Te (GGA-PBE).

Uncorrected formation energy in eV per atom: 0.648

a b c (Å): 4.6487 4.6487 3.4597
angles (deg): 90.00 90.00 90.00
Closest atoms and distances in Å follow each position.
Space group P4/mmm (No. 123)
Symmetry-distinct sites (fractional):
Cr  0.0000  0.0000  0.0000  8 Si 2.90
Si  0.0000  0.5000  0.5000  4 Cr 2.90, 4 Te 2.90
Te  0.5000  0.5000  0.0000  8 Si 2.90

---

# 5
Entry from Alexandria via LeMat-Bulk: a relaxed structure of CrSiTe2 (GGA-PBE).

Uncorrected formation energy in eV per atom: 0.121

a b c (Å): 4.0613 4.0613 19.9812
angles (deg): 90.00 90.00 120.00
Closest atoms and distances in Å follow each position.
Space group R-3m (No. 166, hexagonal axes)
Symmetry-distinct sites (fractional):
Cr  0.0000  0.0000  0.0000  6 Te 2.85
Si  0.0000  0.0000  0.5000  6 Te 2.90
Te  0.0000  0.0000  0.2520  3 Cr 2.85, 3 Si 2.90

---

# 6
Entry from Alexandria via LeMat-Bulk: a relaxed structure of CrSiTe2 (GGA-PBE).

Uncorrected formation energy in eV per atom: 0.293

a b c (Å): 3.6838 3.7632 14.0612
angles (deg): 90.00 90.00 90.00
Closest atoms and distances in Å follow each position.
Space group Imm2 (No. 44)
Symmetry-distinct sites (fractional):
Cr  0.0000  0.0000  0.0000  6 Te 2.85-2.91
Si  0.0000  0.5000  0.7587  6 Te 2.87-3.16
Te  0.0000  0.0000  0.5782  4 Cr 2.85, 2 Si 3.16
Te  0.0000  0.5000  0.3401  4 Si 2.87, 2 Cr 2.91

---

# 7
Entry from Alexandria via LeMat-Bulk: a relaxed structure of CrSi2Te (GGA-PBE).

Uncorrected formation energy in eV per atom: 0.396

a b c (Å): 3.0645 3.0645 25.6504
angles (deg): 90.00 90.00 120.00
Closest atoms and distances in Å follow each position.
Space group R-3m (No. 166, hexagonal axes)
Symmetry-distinct sites (fractional):
Cr  0.0000  0.0000  0.0000  6 Si 2.40
Si  0.0000  0.0000  0.2702  3 Cr 2.40
Te  0.0000  0.0000  0.5000  6 Te 3.06, 6 Si 3.19

---

# 8
Entry from Alexandria via LeMat-Bulk: a relaxed structure of CrSiTe2 (GGA-PBE).

Uncorrected formation energy in eV per atom: 0.220

a b c (Å): 3.2985 3.2985 28.4570
angles (deg): 90.00 90.00 120.00
Closest atoms and distances in Å follow each position.
Space group R3m (No. 160, hexagonal axes)
Symmetry-distinct sites (fractional):
Cr  0.0000  0.0000  0.0000  3 Si 2.53, 3 Te 2.61
Si  0.0000  0.0000  0.2747  3 Cr 2.53
Te  0.0000  0.0000  0.5328  3 Si 2.87
Te  0.0000  0.0000  0.7292  3 Cr 2.61

---

# 9
Entry from Alexandria via LeMat-Bulk: a relaxed structure of CrSiTe2 (GGA-PBE).

Uncorrected formation energy in eV per atom: 0.469

a b c (Å): 4.1001 6.0683 7.7180
angles (deg): 90.00 90.00 90.00
Closest atoms and distances in Å follow each position.
Space group Cmmm (No. 65)
Symmetry-distinct sites (fractional):
Cr  0.0000  0.0000  0.0000  4 Te 2.76
Si  0.0000  0.0000  0.5000  4 Te 2.88
Te  0.0000  0.5000  0.2388  2 Cr 2.76, 2 Si 2.88

---

# 10
Entry from Alexandria via LeMat-Bulk: a relaxed structure of CrSi2Te (GGA-PBE).

Uncorrected formation energy in eV per atom: 0.199

a b c (Å): 3.7687 3.7687 19.6269
angles (deg): 90.00 90.00 120.00
Closest atoms and distances in Å follow each position.
Space group R3m (No. 160, hexagonal axes)
Symmetry-distinct sites (fractional):
Cr  0.0000  0.0000  0.0000  3 Si 2.63, 3 Te 2.68
Si  0.0000  0.0000  0.4558  3 Si 2.37
Si  0.0000  0.0000  0.7417  3 Si 2.37, 3 Cr 2.63
Te  0.0000  0.0000  0.2540  3 Cr 2.68

---

# 11
Entry from Alexandria via LeMat-Bulk: a relaxed structure of CrSiTe3 (GGA-PBE).

Uncorrected formation energy in eV per atom: 0.749

a b c (Å): 5.0535 5.0535 5.0535
angles (deg): 90.00 90.00 90.00
Closest atoms and distances in Å follow each position.
Space group Pm-3m (No. 221)
Symmetry-distinct sites (fractional):
Cr  0.0000  0.0000  0.0000  6 Te 2.53
Si  0.5000  0.5000  0.5000  12 Te 3.57
Te  0.0000  0.0000  0.5000  2 Cr 2.53

---

# 12
Entry from Alexandria via LeMat-Bulk: a relaxed structure of Cr2SiTe (GGA-PBE).

Uncorrected formation energy in eV per atom: 0.340

a b c (Å): 3.7015 4.7440 7.1697
angles (deg): 90.00 90.00 90.00
Closest atoms and distances in Å follow each position.
Space group Immm (No. 71)
Symmetry-distinct sites (fractional):
Cr  0.0000  0.0000  0.2160  2 Si 2.41
Si  0.0000  0.5000  0.5000  4 Cr 2.41
Te  0.0000  0.5000  0.0000  8 Cr 2.75-2.83, 4 Si 3.01